1.
This record from OQMD via LeMat-Bulk describes crystalline KPaPO at its relaxed geometry. The functional is GGA-PBE.

The structure in POSCAR format:
```
KPaPO
1.0
-4.007 3.605 -1.419
-1.885 -0.030 5.245
3.180 3.994 1.166
K O P Pa
2 2 2 2
direct
0.750 0.750 0.003 K
0.250 0.250 0.997 K
0.750 0.250 0.000 O
0.250 0.750 0.000 O
0.250 0.250 0.497 P
0.750 0.750 0.503 P
0.750 0.250 0.500 Pa
0.250 0.750 0.500 Pa
```

Computed properties:
* distance to the lowest polymorph of the same formula: 594 meV per atom
* SG: No. 129

2.
This record from OQMD via LeMat-Bulk describes crystalline KPaPO at its relaxed geometry. The functional is GGA-PBE.

The structure in POSCAR format:
```
KPaPO
1.0
4.080 0.000 0.000
0.000 7.639 0.000
0.000 0.000 6.944
K O P Pa
2 2 2 2
direct
0.000 0.424 0.062 K
0.000 0.576 0.562 K
0.000 0.253 0.393 O
0.000 0.747 0.893 O
0.500 0.809 0.343 P
0.500 0.191 0.843 P
0.500 0.143 0.457 Pa
0.500 0.857 0.957 Pa
```

Computed properties:
* distance to the lowest polymorph of the same formula: 239 meV per atom
* SG: No. 26

3.
This record from OQMD via LeMat-Bulk describes crystalline KPaPO at its relaxed geometry. The functional is GGA-PBE.

The structure in POSCAR format:
```
KPaPO
1.0
4.119 0.000 0.000
0.000 7.456 0.000
0.000 0.000 6.842
K O P Pa
2 2 2 2
direct
0.000 0.593 0.428 K
0.000 0.407 0.928 K
0.500 0.805 0.367 O
0.500 0.195 0.867 O
0.000 0.164 0.352 P
0.000 0.836 0.852 P
0.500 0.989 0.107 Pa
0.500 0.011 0.607 Pa
```

Computed properties:
* distance to the lowest polymorph of the same formula: 0 meV per atom
* SG: No. 26

4.
This record from OQMD via LeMat-Bulk describes crystalline KP3PdO9 at its relaxed geometry. The functional is GGA-PBE.

The structure in POSCAR format:
```
KP3PdO9
1.0
5.059 2.921 2.275
-5.059 2.921 2.275
0.000 -5.842 2.275
K O P Pd
1 9 3 1
direct
0.500 0.500 0.500 K
0.136 0.387 0.062 O
0.387 0.062 0.136 O
0.752 0.367 0.145 O
0.145 0.752 0.367 O
0.062 0.136 0.387 O
0.903 0.874 0.599 O
0.367 0.145 0.752 O
0.599 0.903 0.874 O
0.874 0.599 0.903 O
0.978 0.521 0.097 P
0.097 0.978 0.521 P
0.521 0.097 0.978 P
0.994 0.994 0.994 Pd
```

Computed properties:
* SG: No. 146

5.
This record from OQMD via LeMat-Bulk describes crystalline KPmPO at its relaxed geometry. The functional is GGA-PBE.

The structure in POSCAR format:
```
KPmPO
1.0
-1.787 -2.761 -1.363
4.400 0.382 -6.539
5.043 -4.800 3.113
K O P Pm
2 2 2 2
direct
0.500 0.452 0.095 K
0.500 0.548 0.595 K
0.500 0.264 0.378 O
0.500 0.736 0.878 O
0.000 0.789 0.324 P
0.000 0.211 0.824 P
0.000 0.129 0.457 Pm
0.000 0.871 0.957 Pm
```

Computed properties:
* distance to the lowest polymorph of the same formula: 0 meV per atom
* SG: No. 26

6.
This record from OQMD via LeMat-Bulk describes crystalline KPmPO at its relaxed geometry. The functional is GGA-PBE.

The structure in POSCAR format:
```
KPmPO
1.0
4.088 0.000 0.000
0.000 4.088 0.000
0.000 0.000 10.716
K O P Pm
2 2 2 2
direct
0.000 0.000 0.500 K
0.500 0.500 0.500 K
0.000 0.000 0.000 O
0.500 0.500 0.000 O
0.500 0.000 0.277 P
0.000 0.500 0.723 P
0.000 0.500 0.105 Pm
0.500 0.000 0.895 Pm
```

Computed properties:
* distance to the lowest polymorph of the same formula: 45 meV per atom
* SG: No. 129

7.
This record from OQMD via LeMat-Bulk describes crystalline KPmPO at its relaxed geometry. The functional is GGA-PBE.

The structure in POSCAR format:
```
KPmPO
1.0
4.890 0.000 0.000
0.000 7.526 0.000
0.000 0.000 6.582
K O P Pm
2 2 2 2
direct
0.000 0.752 0.459 K
0.000 0.248 0.959 K
0.500 0.919 0.335 O
0.500 0.081 0.835 O
0.000 0.336 0.444 P
0.000 0.664 0.944 P
0.500 0.839 0.016 Pm
0.500 0.161 0.516 Pm
```

Computed properties:
* distance to the lowest polymorph of the same formula: 58 meV per atom
* SG: No. 26

8.
This record from OQMD via LeMat-Bulk describes crystalline KPmPO at its relaxed geometry. The functional is GGA-PBE.

The structure in POSCAR format:
```
KPmPO
1.0
-0.680 -2.617 -5.224
5.316 1.904 -1.646
2.116 -4.288 1.873
K O P Pm
2 2 2 2
direct
0.000 0.500 0.000 K
0.500 0.000 0.000 K
0.000 0.000 0.000 O
0.500 0.500 0.000 O
0.500 0.000 0.500 P
0.000 0.500 0.500 P
0.000 0.000 0.500 Pm
0.500 0.500 0.500 Pm
```

Computed properties:
* distance to the lowest polymorph of the same formula: 405 meV per atom
* SG: No. 123

9.
This record from OQMD via LeMat-Bulk describes crystalline KPmPO at its relaxed geometry. The functional is GGA-PBE.

The structure in POSCAR format:
```
KPmPO
1.0
-0.737 5.707 -0.859
-5.415 -0.983 -1.885
-1.817 0.511 4.954
K O P Pm
2 2 2 2
direct
0.750 0.750 0.001 K
0.250 0.250 0.999 K
0.750 0.250 0.000 O
0.250 0.750 0.000 O
0.250 0.250 0.499 P
0.750 0.750 0.501 P
0.750 0.250 0.500 Pm
0.250 0.750 0.500 Pm
```

Computed properties:
* distance to the lowest polymorph of the same formula: 407 meV per atom
* SG: No. 129

10.
This record from OQMD via LeMat-Bulk describes crystalline K2RbTbP2O8 at its relaxed geometry. The functional is GGA-PBE.

The structure in POSCAR format:
```
K2RbTbP2O8
1.0
5.687 0.000 0.000
-2.843 4.925 0.000
0.000 0.000 7.511
K O P Rb Tb
2 8 2 1 1
direct
0.333 0.667 0.210 K
0.667 0.333 0.790 K
0.371 0.186 0.173 O
0.814 0.186 0.173 O
0.814 0.629 0.173 O
0.667 0.333 0.451 O
0.333 0.667 0.549 O
0.186 0.371 0.827 O
0.186 0.814 0.827 O
0.629 0.814 0.827 O
0.667 0.333 0.251 P
0.333 0.667 0.749 P
0.000 0.000 0.500 Rb
0.000 0.000 0.000 Tb
```

Computed properties:
* SG: No. 164

11.
This record from OQMD via LeMat-Bulk describes crystalline KRePO at its relaxed geometry. The functional is GGA-PBE.

The structure in POSCAR format:
```
KRePO
1.0
0.649 3.394 -0.630
-1.418 0.847 3.100
8.537 -0.864 4.142
K O P Re
2 2 2 2
direct
0.750 0.250 0.500 K
0.250 0.750 0.500 K
0.750 0.250 0.000 O
0.250 0.750 0.000 O
0.750 0.750 0.245 P
0.250 0.250 0.755 P
0.250 0.250 0.134 Re
0.750 0.750 0.866 Re
```

Computed properties:
* distance to the lowest polymorph of the same formula: 977 meV per atom
* SG: No. 129

12.
This record from OQMD via LeMat-Bulk describes crystalline KRePO at its relaxed geometry. The functional is GGA-PBE.

The structure in POSCAR format:
```
KRePO
1.0
-0.725 3.338 1.464
-0.932 -1.613 3.216
10.887 0.804 3.557
K O P Re
2 2 2 2
direct
0.000 0.000 0.156 K
0.500 0.500 0.844 K
0.500 0.000 0.000 O
0.000 0.500 0.000 O
0.500 0.500 0.360 P
0.000 0.000 0.640 P
0.500 0.000 0.500 Re
0.000 0.500 0.500 Re
```

Computed properties:
* distance to the lowest polymorph of the same formula: 549 meV per atom
* SG: No. 129

13.
This record from OQMD via LeMat-Bulk describes crystalline KRePO at its relaxed geometry. The functional is GGA-PBE.

The structure in POSCAR format:
```
KRePO
1.0
-1.519 2.111 1.907
-6.889 -2.261 -2.986
-0.460 -4.077 4.147
K O P Re
2 2 2 2
direct
0.000 0.104 0.379 K
0.000 0.896 0.879 K
0.500 0.334 0.390 O
0.500 0.666 0.890 O
0.000 0.675 0.381 P
0.000 0.325 0.881 P
0.500 0.471 0.104 Re
0.500 0.529 0.604 Re
```

Computed properties:
* distance to the lowest polymorph of the same formula: 0 meV per atom
* SG: No. 26

14.
This record from OQMD via LeMat-Bulk describes crystalline KRePO at its relaxed geometry. The functional is GGA-PBE.

The structure in POSCAR format:
```
KRePO
1.0
-0.728 3.221 -0.471
-1.776 0.554 6.542
6.891 1.809 1.718
K O P Re
2 2 2 2
direct
0.500 0.814 0.068 K
0.500 0.186 0.568 K
0.500 0.823 0.441 O
0.500 0.177 0.941 O
0.000 0.443 0.265 P
0.000 0.557 0.765 P
0.000 0.673 0.480 Re
0.000 0.327 0.980 Re
```

Computed properties:
* distance to the lowest polymorph of the same formula: 105 meV per atom
* SG: No. 26

15.
This record from OQMD via LeMat-Bulk describes crystalline KSmPO at its relaxed geometry. The functional is GGA-PBE.

The structure in POSCAR format:
```
KSmPO
1.0
-2.405 2.992 -4.344
-4.323 1.617 3.507
2.742 4.261 1.416
K O P Sm
2 2 2 2
direct
0.250 0.250 0.002 K
0.750 0.750 0.998 K
0.750 0.250 0.000 O
0.250 0.750 0.000 O
0.750 0.750 0.498 P
0.250 0.250 0.502 P
0.750 0.250 0.500 Sm
0.250 0.750 0.500 Sm
```

Computed properties:
* distance to the lowest polymorph of the same formula: 459 meV per atom
* SG: No. 129

16.
This record from OQMD via LeMat-Bulk describes crystalline KSmPO at its relaxed geometry. The functional is GGA-PBE.

The structure in POSCAR format:
```
KSmPO
1.0
-1.091 1.275 3.705
2.952 -2.262 1.647
6.770 8.226 -0.836
K O P Sm
2 2 2 2
direct
0.000 0.000 0.500 K
0.500 0.500 0.500 K
0.000 0.000 0.000 O
0.500 0.500 0.000 O
0.500 0.000 0.276 P
0.000 0.500 0.724 P
0.000 0.500 0.104 Sm
0.500 0.000 0.896 Sm
```

Computed properties:
* distance to the lowest polymorph of the same formula: 95 meV per atom
* SG: No. 129

17.
This record from OQMD via LeMat-Bulk describes crystalline KSmPO at its relaxed geometry. The functional is GGA-PBE.

The structure in POSCAR format:
```
KSmPO
1.0
3.527 0.000 0.000
0.000 7.810 0.000
0.000 0.000 7.618
K O P Sm
2 2 2 2
direct
0.000 0.457 0.100 K
0.000 0.543 0.600 K
0.000 0.255 0.373 O
0.000 0.745 0.873 O
0.500 0.783 0.322 P
0.500 0.217 0.822 P
0.500 0.122 0.458 Sm
0.500 0.878 0.958 Sm
```

Computed properties:
* distance to the lowest polymorph of the same formula: 38 meV per atom
* SG: No. 26

18.
This record from OQMD via LeMat-Bulk describes crystalline KSmPO at its relaxed geometry. The functional is GGA-PBE.

The structure in POSCAR format:
```
KSmPO
1.0
4.453 0.000 0.000
0.000 6.566 0.000
0.000 0.000 5.779
K O P Sm
2 2 2 2
direct
0.000 0.102 0.059 K
0.000 0.898 0.559 K
0.500 0.000 0.310 O
0.500 0.000 0.810 O
0.000 0.493 0.325 P
0.000 0.507 0.825 P
0.500 0.737 0.060 Sm
0.500 0.263 0.560 Sm
```

Computed properties:
* distance to the lowest polymorph of the same formula: 0 meV per atom
* SG: No. 26

19.
This record from OQMD via LeMat-Bulk describes crystalline KSmPO at its relaxed geometry. The functional is GGA-PBE.

The structure in POSCAR format:
```
KSmPO
1.0
-2.261 3.265 1.165
-1.191 0.574 -3.922
-4.028 -3.066 0.775
K O P Sm
1 1 1 1
direct
0.000 0.000 0.000 K
0.500 0.500 0.000 O
0.000 0.000 0.500 P
0.500 0.500 0.500 Sm
```

Computed properties:
* distance to the lowest polymorph of the same formula: 455 meV per atom
* SG: No. 123

20.
This record from OQMD via LeMat-Bulk describes crystalline KSmP4O12 at its relaxed geometry. The functional is GGA-PBE.

The structure in POSCAR format:
```
KSmP4O12
1.0
-3.888 -6.106 0.004
-3.888 6.106 0.004
3.720 0.000 -9.804
K O P Sm
2 24 8 2
direct
0.319 0.681 0.250 K
0.681 0.319 0.750 K
0.337 0.364 0.078 O
0.038 0.783 0.080 O
0.861 0.012 0.090 O
0.808 0.331 0.094 O
0.421 0.007 0.115 O
0.744 0.704 0.185 O
0.296 0.256 0.315 O
0.993 0.579 0.385 O
0.669 0.192 0.406 O
0.988 0.139 0.410 O
0.217 0.962 0.420 O
0.636 0.663 0.422 O
0.364 0.337 0.578 O
0.783 0.038 0.580 O
0.012 0.861 0.590 O
0.331 0.808 0.594 O
0.007 0.421 0.615 O
0.704 0.744 0.685 O
0.256 0.296 0.815 O
0.579 0.993 0.885 O
0.192 0.669 0.906 O
0.139 0.988 0.910 O
0.962 0.217 0.920 O
0.663 0.636 0.922 O
0.215 0.865 0.002 P
0.806 0.765 0.066 P
0.235 0.194 0.434 P
0.135 0.785 0.498 P
0.865 0.215 0.502 P
0.765 0.806 0.566 P
0.194 0.235 0.934 P
0.785 0.135 0.998 P
0.620 0.380 0.250 Sm
0.380 0.620 0.750 Sm
```

Computed properties:
* SG: No. 15

Final energy / eV for the cell shown: -47.098 -49.933 -51.847 -92.480 -43.871 -43.508 -43.404 -40.633 -40.613 -94.317 -45.076 -48.502 -52.893 -52.049 -40.531 -43.447 -43.900 -44.203 -20.280 -261.633